! SmTm6Th4 (GGA-PBE, optimized geometry); values from VASP
! Distance to the lowest polymorph of the same formula: 350.0 meV per atom
! Crystal system: tetragonal
&SYSTEM
  ibrav = 0, nat = 11, ntyp = 3
/
ATOMIC_SPECIES
Th 232.04 Th.upf
Tm 168.93 Tm.upf
Sm 150.36 Sm.upf
CELL_PARAMETERS angstrom
7.882 0.000 0.000
0.000 7.882 0.000
-3.941 -3.941 6.372
ATOMIC_POSITIONS angstrom
Th 6.570 6.570 0.953
Th 1.312 1.312 0.953
Th 2.629 -2.629 5.418
Th -2.629 2.629 5.418
Tm 3.941 0.000 0.000
Tm 1.894 5.989 2.305
Tm -2.047 -2.047 4.067
Tm 2.047 2.047 4.067
Tm 0.000 3.941 0.000
Tm 5.989 1.894 2.305
Sm 3.941 3.941 0.000


! Sm2TmTh (GGA-PBE, optimized geometry); values from VASP
! Distance to the lowest polymorph of the same formula: 4.7 meV per atom
! Crystal system: monoclinic
&SYSTEM
  ibrav = 0, nat = 8, ntyp = 3
/
ATOMIC_SPECIES
Sm 150.36 Sm.upf
Th 232.04 Th.upf
Tm 168.93 Tm.upf
CELL_PARAMETERS angstrom
3.428 1.021 -0.121
1.480 7.756 1.248
-0.090 1.588 10.662
ATOMIC_POSITIONS angstrom
Sm 1.707 7.301 3.797
Sm 3.601 8.126 11.499
Sm 1.217 2.238 0.291
Sm 3.111 3.064 7.993
Th 1.669 1.305 5.270
Th 0.695 4.672 5.955
Tm 2.683 3.929 3.144
Tm 2.135 6.436 8.646


! SmTm5Th4 (GGA-PBE, optimized geometry); values from VASP
! Distance to the lowest polymorph of the same formula: 0.0 meV per atom
! Crystal system: triclinic
&SYSTEM
  ibrav = 0, nat = 10, ntyp = 3
/
ATOMIC_SPECIES
Tm 168.93 Tm.upf
Sm 150.36 Sm.upf
Th 232.04 Th.upf
CELL_PARAMETERS angstrom
-0.894 2.597 -2.099
-9.972 -5.303 -2.292
-5.417 1.176 6.611
ATOMIC_POSITIONS angstrom
Tm -11.396 -3.881 0.072
Tm -6.285 -1.003 1.443
Tm -4.887 2.351 2.148
Tm -9.998 -0.527 0.777
Tm -5.433 -1.353 -2.195
Sm -0.447 1.299 -1.049
Th -8.064 -3.255 -0.585
Th -3.646 0.690 -0.436
Th -8.219 1.725 2.805
Th -12.637 -2.220 2.656


! Sm2Tm2Th (GGA-PBE, optimized geometry); values from VASP
! Distance to the lowest polymorph of the same formula: 43.7 meV per atom
! Crystal system: orthorhombic
&SYSTEM
  ibrav = 0, nat = 20, ntyp = 3
/
ATOMIC_SPECIES
Sm 150.36 Sm.upf
Tm 168.93 Tm.upf
Th 232.04 Th.upf
CELL_PARAMETERS angstrom
-5.615 -0.979 -0.013
0.703 -3.956 -5.806
2.248 -13.009 9.135
ATOMIC_POSITIONS angstrom
Sm -1.912 -13.940 1.804
Sm 0.496 -11.167 2.350
Sm -3.160 -6.777 0.966
Sm 0.588 -11.758 7.057
Sm -2.268 -11.939 4.691
Sm -0.752 -4.004 1.512
Sm -3.252 -6.186 -3.741
Sm -0.396 -6.004 -1.376
Tm 0.947 -13.778 4.184
Tm -2.566 -10.184 1.245
Tm -0.709 -4.165 -4.747
Tm 0.137 -9.147 5.223
Tm -0.098 -7.760 2.070
Tm -2.801 -8.797 -1.908
Tm -3.611 -4.166 -0.868
Tm -1.955 -13.779 8.062
Th -1.606 -15.742 5.154
Th -2.916 -8.215 4.161
Th 0.252 -9.729 -0.845
Th -1.058 -2.201 -1.839


! Sm6Tm12Th (GGA-PBE, optimized geometry); values from VASP
! Distance to the lowest polymorph of the same formula: 0.0 meV per atom
! Crystal system: trigonal
&SYSTEM
  ibrav = 0, nat = 19, ntyp = 3
/
ATOMIC_SPECIES
Tm 168.93 Tm.upf
Sm 150.36 Sm.upf
Th 232.04 Th.upf
CELL_PARAMETERS angstrom
-6.280 1.091 5.609
-1.582 -8.341 0.093
5.377 -1.110 6.477
ATOMIC_POSITIONS angstrom
Tm 0.846 -4.179 4.944
Tm -2.521 -4.417 4.094
Tm -0.614 -5.719 10.867
Tm -3.331 -4.182 7.234
Tm 1.452 -2.195 2.297
Tm -1.485 -8.424 8.832
Tm 0.036 -3.944 8.085
Tm -1.416 -1.805 6.113
Tm -1.871 -2.642 1.312
Tm -3.937 -6.166 9.882
Tm -1.069 -6.556 6.066
Tm -1.000 0.063 3.346
Sm -4.231 -1.464 4.411
Sm -2.229 -2.473 9.993
Sm 1.947 -1.197 5.855
Sm 1.746 -6.897 7.767
Sm -0.256 -5.888 2.185
Sm -4.432 -7.164 6.323
Th 0.000 0.000 0.000


! Sm10Tm4Th (GGA-PBE, optimized geometry); values from VASP
! Crystal system: tetragonal
&SYSTEM
  ibrav = 0, nat = 15, ntyp = 3
/
ATOMIC_SPECIES
Sm 150.36 Sm.upf
Tm 168.93 Tm.upf
Th 232.04 Th.upf
CELL_PARAMETERS angstrom
-3.290 1.901 10.178
-7.472 -2.766 3.899
1.628 -4.869 7.234
ATOMIC_POSITIONS angstrom
Sm -3.430 -3.976 15.026
Sm -3.331 -0.150 12.550
Sm -2.195 -0.807 9.035
Sm -5.389 -2.392 13.200
Sm -5.802 -5.583 8.761
Sm -7.857 -0.514 12.948
Sm -6.939 -4.927 12.276
Sm -5.704 -1.758 6.285
Sm -1.277 -5.220 8.363
Sm -3.744 -3.342 8.111
Tm -7.301 -3.896 15.762
Tm -6.424 -1.852 9.866
Tm -2.710 -3.882 11.446
Tm -1.833 -1.838 5.549
Th 0.000 0.000 0.000


! Sm4Tm15Th (GGA-PBE, optimized geometry); values from VASP
! Crystal system: tetragonal
&SYSTEM
  ibrav = 0, nat = 20, ntyp = 3
/
ATOMIC_SPECIES
Tm 168.93 Tm.upf
Sm 150.36 Sm.upf
Th 232.04 Th.upf
CELL_PARAMETERS angstrom
4.986 0.000 0.000
0.000 4.986 0.000
0.000 0.000 24.823
ATOMIC_POSITIONS angstrom
Tm 2.493 0.000 17.393
Tm 2.493 0.000 22.379
Tm 2.493 0.000 2.444
Tm 2.493 2.493 4.959
Tm 0.000 2.493 17.393
Tm 2.493 0.000 7.430
Tm 0.000 2.493 12.411
Tm 2.493 2.493 14.904
Tm 2.493 2.493 19.864
Tm 0.000 2.493 7.430
Tm 2.493 0.000 12.411
Tm 0.000 2.493 22.379
Tm 2.493 2.493 0.000
Tm 0.000 2.493 2.444
Tm 2.493 2.493 9.919
Sm 0.000 0.000 4.939
Sm 0.000 0.000 9.923
Sm 0.000 0.000 19.883
Sm 0.000 0.000 14.899
Th 0.000 0.000 0.000


! SmTmTh (GGA-PBE, optimized geometry); values from VASP
! Distance to the lowest polymorph of the same formula: 5.0 meV per atom
! Crystal system: tetragonal
&SYSTEM
  ibrav = 0, nat = 3, ntyp = 3
/
ATOMIC_SPECIES
Sm 150.36 Sm.upf
Th 232.04 Th.upf
Tm 168.93 Tm.upf
CELL_PARAMETERS angstrom
3.586 0.000 0.000
0.000 3.586 0.000
-1.793 -1.793 7.500
ATOMIC_POSITIONS angstrom
Sm 1.793 1.793 7.427
Th 0.000 0.000 4.971
Tm 1.793 1.793 2.602


ΔE_f values, unit kJ per mole of atoms, following the record order: 49.98; 2.55; 10.87; 5.61; 14.92; 47.12; 2.62; 3.02.
D(E_F) values, unit states/eV/atom, following the record order: 1.3726; 1.2375; 1.7101; 1.5209; 1.5768; 1.7189; 1.4586; 1.3904.